# 1
# Ac3Cu2 PBE optimized geometry
data_Ac3Cu2
_chemical_formula_sum 'Ac12 Cu8'
_cell_length_a 8.275
_cell_length_b 8.645
_cell_length_c 8.645
_cell_angle_alpha 90.00
_cell_angle_beta 90.00
_cell_angle_gamma 90.00
_symmetry_space_group_name_H-M 'P 1'
_symmetry_Int_Tables_number 1
_symmetry_space_group_name_Hall 'P 1'
loop_
_atom_site_label
_atom_site_type_symbol
_atom_site_fract_x
_atom_site_fract_y
_atom_site_fract_z
Cu1 Cu 0.250 0.379 0.621
Cu2 Cu 0.250 0.879 0.879
Cu3 Cu 0.250 0.621 0.379
Cu4 Cu 0.750 0.621 0.379
Cu5 Cu 0.750 0.879 0.879
Cu6 Cu 0.750 0.121 0.121
Cu7 Cu 0.250 0.121 0.121
Cu8 Cu 0.750 0.379 0.621
Ac1 Ac 0.750 0.000 0.500
Ac2 Ac 0.750 0.500 0.000
Ac3 Ac 0.250 0.500 0.000
Ac4 Ac 0.250 0.000 0.500
Ac5 Ac 0.500 0.660 0.660
Ac6 Ac 0.000 0.840 0.160
Ac7 Ac 0.500 0.340 0.340
Ac8 Ac 0.000 0.660 0.660
Ac9 Ac 0.000 0.340 0.340
Ac10 Ac 0.500 0.160 0.840
Ac11 Ac 0.000 0.160 0.840
Ac12 Ac 0.500 0.840 0.160
# V   618.40 Å³ per cell
# Space group   No. 127
# Energy of formation   -0.049 eV/atom
# ΔE to the lowest computed polymorph   0 meV/atom

***

# 2
# Cd6CuAg2 PBE optimized geometry
data_Cd6CuAg2
_chemical_formula_sum 'Cd6 Cu1 Ag2'
_cell_length_a 4.450
_cell_length_b 5.101
_cell_length_c 8.949
_cell_angle_alpha 102.21
_cell_angle_beta 90.00
_cell_angle_gamma 115.86
_symmetry_space_group_name_H-M 'P 1'
_symmetry_Int_Tables_number 1
_symmetry_space_group_name_Hall 'P 1'
loop_
_atom_site_label
_atom_site_type_symbol
_atom_site_fract_x
_atom_site_fract_y
_atom_site_fract_z
Cu1 Cu 0.000 0.000 0.500
Cd1 Cd 0.334 0.667 0.942
Cd2 Cd 0.663 0.326 0.401
Cd3 Cd 0.001 0.001 0.816
Cd4 Cd 0.337 0.674 0.599
Cd5 Cd 0.666 0.333 0.058
Cd6 Cd 0.999 0.999 0.184
Ag1 Ag 0.331 0.662 0.278
Ag2 Ag 0.669 0.338 0.722
# V   177.70 Å³ per cell
# Space group   No. 12
# Energy of formation   0.019 eV/atom
# ΔE to the lowest computed polymorph   0 meV/atom

***

# 3
# Tm5Rh2O12 PBE optimized geometry
data_Tm5Rh2O12
_chemical_formula_sum 'Tm5 Rh2 O12'
_cell_length_a 5.862
_cell_length_b 6.760
_cell_length_c 7.173
_cell_angle_alpha 105.48
_cell_angle_beta 90.00
_cell_angle_gamma 115.69
_symmetry_space_group_name_H-M 'P 1'
_symmetry_Int_Tables_number 1
_symmetry_space_group_name_Hall 'P 1'
loop_
_atom_site_label
_atom_site_type_symbol
_atom_site_fract_x
_atom_site_fract_y
_atom_site_fract_z
Tm1 Tm 0.000 0.000 0.500
Tm2 Tm 0.301 0.602 0.639
Tm3 Tm 0.690 0.380 0.828
Tm4 Tm 0.310 0.620 0.172
Tm5 Tm 0.699 0.398 0.361
O1 O 0.098 0.663 0.913
O2 O 0.902 0.337 0.087
O3 O 0.000 0.999 0.186
O4 O 0.434 0.337 0.087
O5 O 0.500 0.001 0.195
O6 O 0.402 0.304 0.573
O7 O 0.566 0.663 0.913
O8 O 0.000 0.001 0.814
O9 O 0.903 0.304 0.573
O10 O 0.598 0.696 0.427
O11 O 0.097 0.696 0.427
O12 O 0.500 0.999 0.805
Rh1 Rh 0.753 0.000 0.000
Rh2 Rh 0.247 0.000 0.000
# V   244.66 Å³ per cell
# Energy relative to the elements, uncorrected   -2649.1 meV/atom
# Space group   No. 12

***

# 4
# Hf4BiH PBE optimized geometry
data_Hf4BiH
_chemical_formula_sum 'Hf8 Bi2 H2'
_cell_length_a 5.765
_cell_length_b 6.604
_cell_length_c 7.878
_cell_angle_alpha 114.13
_cell_angle_beta 110.74
_cell_angle_gamma 91.61
_symmetry_space_group_name_H-M 'P 1'
_symmetry_Int_Tables_number 1
_symmetry_space_group_name_Hall 'P 1'
loop_
_atom_site_label
_atom_site_type_symbol
_atom_site_fract_x
_atom_site_fract_y
_atom_site_fract_z
Bi1 Bi 0.347 0.597 0.194
Bi2 Bi 0.653 0.403 0.806
Hf1 Hf 0.772 0.647 0.578
Hf2 Hf 0.349 0.759 0.883
Hf3 Hf 0.034 0.124 0.883
Hf4 Hf 0.651 0.241 0.117
Hf5 Hf 0.966 0.876 0.117
Hf6 Hf 0.228 0.353 0.422
Hf7 Hf 0.695 0.070 0.422
Hf8 Hf 0.305 0.930 0.578
H1 H 0.097 0.847 0.695
H2 H 0.903 0.153 0.305
# V   250.68 Å³ per cell
# Raw total energy   -7.862 eV per atom
# Space group   No. 15

***

# 5
# LaPm15In4 PBE optimized geometry
data_LaPm15In4
_chemical_formula_sum 'La1 Pm15 In4'
_cell_length_a 4.963
_cell_length_b 4.963
_cell_length_c 25.434
_cell_angle_alpha 90.00
_cell_angle_beta 90.00
_cell_angle_gamma 90.00
_symmetry_space_group_name_H-M 'P 1'
_symmetry_Int_Tables_number 1
_symmetry_space_group_name_Hall 'P 1'
loop_
_atom_site_label
_atom_site_type_symbol
_atom_site_fract_x
_atom_site_fract_y
_atom_site_fract_z
Pm1 Pm 0.500 0.500 0.598
Pm2 Pm 0.500 0.000 0.108
Pm3 Pm 0.500 0.500 0.000
Pm4 Pm 0.500 0.000 0.696
Pm5 Pm 0.000 0.500 0.696
Pm6 Pm 0.500 0.500 0.793
Pm7 Pm 0.500 0.000 0.500
Pm8 Pm 0.500 0.500 0.402
Pm9 Pm 0.000 0.500 0.500
Pm10 Pm 0.000 0.500 0.108
Pm11 Pm 0.000 0.500 0.892
Pm12 Pm 0.000 0.500 0.304
Pm13 Pm 0.500 0.500 0.207
Pm14 Pm 0.500 0.000 0.304
Pm15 Pm 0.500 0.000 0.892
In1 In 0.000 0.000 0.597
In2 In 0.000 0.000 0.403
In3 In 0.000 0.000 0.793
In4 In 0.000 0.000 0.207
La1 La 0.000 0.000 0.000
# V   626.57 Å³ per cell
# Space group   No. 123
# Energy of formation   -0.206 eV/atom

***

# 6
# Tb3IrRh2 PBE optimized geometry
data_Tb3IrRh2
_chemical_formula_sum 'Tb6 Ir2 Rh4'
_cell_length_a 4.870
_cell_length_b 4.870
_cell_length_c 11.904
_cell_angle_alpha 90.00
_cell_angle_beta 90.00
_cell_angle_gamma 120.00
_symmetry_space_group_name_H-M 'P 1'
_symmetry_Int_Tables_number 1
_symmetry_space_group_name_Hall 'P 1'
loop_
_atom_site_label
_atom_site_type_symbol
_atom_site_fract_x
_atom_site_fract_y
_atom_site_fract_z
Rh1 Rh 0.667 0.333 0.836
Rh2 Rh 0.000 0.000 0.000
Rh3 Rh 0.000 0.000 0.500
Rh4 Rh 0.333 0.667 0.164
Ir1 Ir 0.333 0.667 0.666
Ir2 Ir 0.667 0.333 0.334
Tb1 Tb 0.000 0.000 0.251
Tb2 Tb 0.667 0.333 0.084
Tb3 Tb 0.333 0.667 0.417
Tb4 Tb 0.333 0.667 0.916
Tb5 Tb 0.000 0.000 0.749
Tb6 Tb 0.667 0.333 0.583
# V   244.52 Å³ per cell
# Space group   No. 164
# Energy of formation   -0.842 eV/atom